(1)
Na3PRh: optimized geometry, PBE.

Cell lengths 5.210, 5.210, 5.210 Å; angles 90.00, 90.00, 90.00 degrees
Atoms (fractional coordinates):
Na: 0.000 0.000 0.500
Na: 0.000 0.500 0.000
Na: 0.500 0.000 0.000
P: 0.500 0.500 0.500
Rh: 0.000 0.000 0.000

Output
Calculated density ... 2.382 g/cm³
Space-group type ... Pm-3m
Energy relative to the lowest polymorph listed for this composition ... 1.01 eV/f.u.

***

(2)
MnZn2Co2: optimized geometry, PBE.

Cell lengths 4.109, 4.109, 4.811 Å; angles 115.15, 115.15, 60.08 degrees
Atoms (fractional coordinates):
Mn: 0.000 0.000 0.000
Zn: 0.206 0.206 0.619
Zn: 0.794 0.794 0.381
Co: 0.403 0.403 0.210
Co: 0.597 0.597 0.790

Output
Calculated density ... 8.220 g/cm³
Space-group type ... C2/m
Energy relative to the lowest polymorph listed for this composition ... 0.00 eV/f.u.

***

(3)
Tb3Pm4Pr4: optimized geometry, PBE.

Cell lengths 12.144, 12.144, 12.144 Å; angles 162.61, 133.30, 50.20 degrees
Atoms (fractional coordinates):
Tb: 0.000 0.000 0.000
Tb: 0.394 0.894 0.500
Tb: 0.606 0.106 0.500
Pm: 0.262 0.262 0.000
Pm: 0.315 0.500 0.815
Pm: 0.685 0.500 0.185
Pm: 0.738 0.738 0.000
Pr: 0.032 0.356 0.676
Pr: 0.320 0.644 0.676
Pr: 0.680 0.356 0.324
Pr: 0.968 0.644 0.324

Output
Calculated density ... 6.921 g/cm³
Space-group type ... Immm
Energy relative to the lowest polymorph listed for this composition ... 0.00 eV/f.u.

***

Number 1: formation energy 4.3 eV per formula unit, energy -2.48 eV/atom. Number 2: formation energy 0.0 eV per formula unit, energy -5.19 eV/atom. Number 3: formation energy 1.4 eV per formula unit, energy -4.61 eV/atom.